A plane-wave DFT calculation with PBE+U was carried out for a relaxed structure of Sr2LuVO6. Values from VASP.

The structure in Quantum ESPRESSO input format:
```
&SYSTEM
  ibrav = 0, nat = 10, ntyp = 4
/
ATOMIC_SPECIES
O 16.00 O.upf
Sr 87.62 Sr.upf
Lu 174.97 Lu.upf
V 50.94 V.upf
ATOMIC_POSITIONS crystal
O 0.734 0.734 0.266
O 0.266 0.734 0.266
O 0.266 0.266 0.734
O 0.266 0.734 0.734
O 0.734 0.266 0.266
O 0.734 0.266 0.734
Sr 0.750 0.750 0.750
Sr 0.250 0.250 0.250
Lu 0.000 0.000 0.000
V 0.500 0.500 0.500
CELL_PARAMETERS angstrom
-1.279 -1.617 -5.350
2.444 -4.676 -2.243
-3.129 -4.720 -0.898
```

## Properties
**V**: 133.27 Å³ per cell
**DFT total energy**: -73.1 eV/cell
**Space group**: No. 225